Density functional theory data (PBE) for crystalline Zr3HgN at its relaxed geometry.

Uncorrected formation energy: -0.624 eV per atom

abc: 7.8824 7.8824 7.8824
angles: 43.04 43.04 43.04
With the nearest neighbours (Å) after each atom.
Fractional positions:
Hg (0.3361, 0.3361, 0.3361)  6 Zr 3.04-3.06, 3 Hg 3.34
Hg (0.6639, 0.6639, 0.6639)  6 Zr 3.04-3.06, 3 Hg 3.34
Zr (0.4469, 0.0983, 0.7849)  2 N 2.24-2.27
Zr (0.0983, 0.7849, 0.4469)  2 N 2.24-2.27
Zr (0.2151, 0.5531, 0.9017)  2 N 2.24-2.27
Zr (0.9017, 0.2151, 0.5531)  2 N 2.24-2.27
Zr (0.5531, 0.9017, 0.2151)  2 N 2.24-2.27
Zr (0.7849, 0.4469, 0.0983)  2 N 2.24-2.27
N (0.1641, 0.1641, 0.1641)  6 Zr 2.24-2.27
N (0.8359, 0.8359, 0.8359)  6 Zr 2.24-2.27


Density functional theory data (PBE) for crystalline Cu3ReBr at its relaxed geometry.

Uncorrected formation energy: 1.477 eV per atom
ΔE to the lowest computed polymorph: 0 meV per atom

abc: 4.7604 4.7604 4.7604
angles: 90.00 90.00 90.00
With the nearest neighbours (Å) after each atom.
Fractional positions:
Re (0.0000, 0.0000, 0.0000)  6 Cu 2.38
Cu (0.0000, 0.5000, 0.0000)  2 Re 2.38
Cu (0.0000, 0.0000, 0.5000)  2 Re 2.38
Cu (0.5000, 0.0000, 0.0000)  2 Re 2.38
Br (0.5000, 0.5000, 0.5000)  12 Cu 3.37


Density functional theory data (PBE) for crystalline AcCdSi2Rh5 at its relaxed geometry.

Uncorrected formation energy: -0.479 eV per atom

abc: 4.5842 4.5842 7.5631
angles: 90.00 90.00 90.00
With the nearest neighbours (Å) after each atom.
Fractional positions:
Ac (0.0000, 0.0000, 0.5000)  12 Rh 3.13-3.24
Cd (0.0000, 0.0000, 0.0000)  8 Rh 2.83
Si (0.5000, 0.5000, 0.1781)  5 Rh 2.31-2.43
Si (0.5000, 0.5000, 0.8219)  5 Rh 2.31-2.43
Rh (0.0000, 0.5000, 0.2186)  2 Si 2.31
Rh (0.5000, 0.0000, 0.2186)  2 Si 2.31
Rh (0.0000, 0.5000, 0.7814)  2 Si 2.31
Rh (0.5000, 0.0000, 0.7814)  2 Si 2.31
Rh (0.5000, 0.5000, 0.5000)  2 Si 2.43


Density functional theory data (PBE) for crystalline Mg2Tl8Pb at its relaxed geometry.

ΔE_f: 0.0299 eV per atom
ΔE to the lowest computed polymorph: 0 meV per atom

abc: 5.9503 6.5620 8.9130
angles: 111.60 87.88 90.00
With the nearest neighbours (Å) after each atom.
Fractional positions:
Mg (0.3856, 0.2578, 0.5155)  7 Tl 3.06-3.18
Mg (0.6144, 0.7422, 0.4845)  7 Tl 3.06-3.18
Tl (0.5715, 0.1511, 0.8084)  2 Mg 3.14-3.18, 5 Tl 3.24-3.44, 1 Pb 3.46
Tl (0.4285, 0.3427, 0.1916)  2 Mg 3.14-3.18, 5 Tl 3.24-3.44, 1 Pb 3.46
Tl (0.8869, 0.2061, 0.4122)  2 Mg 3.07-3.12
Tl (0.1131, 0.7939, 0.5878)  2 Mg 3.07-3.12
Tl (0.5715, 0.6573, 0.8084)  2 Mg 3.14-3.18, 5 Tl 3.24-3.44, 1 Pb 3.46
Tl (0.4285, 0.8489, 0.1916)  2 Mg 3.14-3.18, 5 Tl 3.24-3.44, 1 Pb 3.46
Tl (0.0647, 0.4063, 0.8126)  1 Mg 3.06, 3 Tl 3.17-3.37
Tl (0.9353, 0.5937, 0.1874)  1 Mg 3.06, 3 Tl 3.17-3.37
Pb (0.0000, 0.0000, 0.0000)  10 Tl 3.46-3.64


Density functional theory data (PBE) for crystalline TlH2I4 at its relaxed geometry.

Final energy: -32.67 eV per cell

abc: 9.4568 8.6493 8.8616
angles: 114.22 102.17 105.92
With the nearest neighbours (Å) after each atom.
Fractional positions:
Tl (0.0736, 0.6670, 0.5227)  6 I 3.47-3.84, 1 H 3.57
Tl (0.0882, 0.0490, 0.0322)  4 I 2.84-2.86
H (0.4942, 0.1647, 0.5152)  1 I 1.67
H (0.4102, 0.8172, 0.4148)  1 I 1.67
H (0.5980, 0.4500, 0.2387)  1 I 1.67
H (0.2846, 0.4424, 0.7773)  1 I 1.65
I (0.9280, 0.1811, 0.2620)  1 Tl 2.84
I (0.2732, 0.6362, 0.2245)  1 H 1.67
I (0.9204, 0.6572, 0.8433)  1 Tl 2.84
I (0.0711, 0.1493, 0.7622)  1 H 2.71, 1 Tl 2.85
I (0.4160, 0.1595, 0.2196)  2 H 2.54-2.55
I (0.5667, 0.1389, 0.6876)  1 H 1.67
I (0.4028, 0.6034, 0.7528)  1 H 1.65
I (0.7230, 0.6342, 0.2470)  1 H 1.67


Density functional theory data (PBE) for crystalline LiSb2Br at its relaxed geometry.

Uncorrected formation energy: -0.547 eV per atom
ΔE to the lowest computed polymorph: 141 meV per atom

abc: 10.4093 10.4093 10.4093
angles: 159.59 159.53 29.06
With the nearest neighbours (Å) after each atom.
Fractional positions:
Br (0.7500, 0.2500, 0.5000)  4 Li 2.61
Li (0.2500, 0.7500, 0.5000)  4 Br 2.61
Sb (0.0382, 0.0382, 0.0000)  4 Sb 3.03
Sb (0.4618, 0.4618, 0.0000)  4 Sb 3.03


Density functional theory data (PBE) for crystalline AlCr2Ag at its relaxed geometry.

ΔE_f: 0.8526 eV per atom

abc: 7.2102 7.2102 5.6905
angles: 50.69 50.69 90.00
With the nearest neighbours (Å) after each atom.
Fractional positions:
Cr (0.6180, 0.1250, 0.2500)  2 Cr 2.53, 2 Al 2.59, 2 Ag 2.66
Cr (0.1320, 0.6250, 0.2500)  2 Cr 2.53, 2 Al 2.59, 2 Ag 2.66
Cr (0.3750, 0.3820, 0.7500)  2 Cr 2.53, 2 Al 2.59, 2 Ag 2.66
Cr (0.8750, 0.8680, 0.7500)  2 Cr 2.53, 2 Al 2.59, 2 Ag 2.66
Al (0.5000, 0.5000, 0.0000)  2 Ag 2.53, 4 Cr 2.59
Al (0.2500, 0.7500, 0.5000)  2 Ag 2.53, 4 Cr 2.59
Ag (0.0000, 0.0000, 0.0000)  2 Al 2.53, 4 Cr 2.66
Ag (0.7500, 0.2500, 0.5000)  2 Al 2.53, 4 Cr 2.66


Density functional theory data (PBE) for crystalline SiOsPb2 at its relaxed geometry.

Uncorrected formation energy: 0.440 eV per atom

abc: 3.9684 3.3387 7.3016
angles: 77.19 90.00 90.00
With the nearest neighbours (Å) after each atom.
Fractional positions:
Os (0.5000, 0.5903, 0.7044)  2 Si 2.30
Pb (0.0000, 0.9813, 0.9280)  4 Os 3.04, 2 Si 3.20-3.24, 2 Pb 3.34
Pb (0.5000, 0.2698, 0.3260)  4 Si 3.00-3.03, 2 Os 3.16-3.18, 2 Pb 3.34
Si (0.0000, 0.6586, 0.5415)  2 Os 2.30


Number 1: size of the total moment 0.00 μB per atom. Number 2: size of the total moment 0.19 μB per atom. Number 3: size of the total moment 0.00 μB per atom. Number 4: size of the total moment 0.00 μB per atom. Number 5: size of the total moment 0.00 μB per atom. Number 6: size of the total moment 0.00 μB per atom. Number 7: size of the total moment 1.28 μB per atom. Number 8: size of the total moment 0.00 μB per atom.